No. 1
PrDy3Ag2 | PBE | relaxed

Structure (POSCAR):
```
PrDy3Ag2
1.0
-2.2971 0.4346 2.7949
0.6908 -3.4053 1.0973
9.3155 4.1490 7.0111
Ag Dy Pr
2 3 1
Cartesian
7.1352 2.0502 7.9207 Ag
0.5741 -0.8720 2.9826 Ag
6.5964 2.9379 4.9646 Dy
2.7191 1.2111 2.0465 Dy
0.0000 0.0000 0.0000 Dy
3.8546 0.5891 5.4517 Pr
```

Results
Energy of formation ... -0.20 eV per atom
Space-group type ... P4/mmm


No. 2
MnAg2Te | PBE | relaxed

Structure (POSCAR):
```
MnAg2Te
1.0
-1.5874 1.6834 -3.0424
-2.8777 -1.1282 0.8773
-2.4489 5.0496 4.0717
Ag Mn Te
2 1 1
Cartesian
-2.3820 -0.5964 0.9128 Ag
-1.9542 1.9479 -0.3036 Ag
-2.8312 1.7764 2.4600 Mn
-5.2877 3.3094 2.1890 Te
```

Results
Energy relative to the elements, uncorrected ... 16 kJ per mole of atoms
Space-group type ... Pm


No. 3
CaP2PbO | PBE | relaxed

Structure (POSCAR):
```
CaP2PbO
1.0
5.2943 0.0000 0.0000
0.0000 5.2943 0.0000
0.0000 0.0000 4.2921
O Pb Ca P
1 1 1 2
Cartesian
0.0000 0.0000 2.1461 O
0.0000 0.0000 0.0000 Pb
2.6472 2.6472 2.1461 Ca
2.6472 0.0000 0.0000 P
0.0000 2.6472 0.0000 P
```

Results
Energy relative to the elements, uncorrected ... 10 kJ per mole of atoms
Space-group type ... P4/mmm


No. 4
OsC2 | PBE | relaxed

Structure (POSCAR):
```
OsC2
1.0
4.9531 0.0000 0.0000
0.0000 4.9531 0.0000
0.0000 0.0000 4.9531
C Os
8 4
Cartesian
0.4109 4.5422 2.8875 C
0.4109 2.8875 0.4109 C
4.5422 2.0656 4.5422 C
2.0656 2.0656 2.8875 C
4.5422 0.4109 2.0656 C
2.8875 4.5422 4.5422 C
2.0656 0.4109 0.4109 C
2.8875 2.8875 2.0656 C
2.4766 2.4766 0.0000 Os
0.0000 2.4766 2.4766 Os
2.4766 0.0000 2.4766 Os
0.0000 0.0000 0.0000 Os
```

Results
Energy of formation ... 1.56 eV per atom
Space-group type ... Pa-3


No. 5
PmPr2Ni | PBE | relaxed

Structure (POSCAR):
```
PmPr2Ni
1.0
-3.3509 -0.2496 1.2644
1.0311 -2.6325 2.2128
1.9206 6.0314 6.2805
Pr Pm Ni
2 1 1
Cartesian
1.5582 4.8934 5.0955 Pr
0.3624 1.1381 1.1850 Pr
-0.1996 1.5747 4.8789 Pm
-1.1599 -1.4411 1.7386 Ni
```

Results
Energy of formation ... -0.05 eV per atom
Space-group type ... P4/mmm


No. 6
Mg2TeAu | PBE | relaxed

Structure (POSCAR):
```
Mg2TeAu
1.0
5.1317 -0.0124 -0.0034
-0.0189 5.1317 0.0034
-1.9674 -3.1479 3.5432
Mg Au Te
2 1 1
Cartesian
0.1334 0.1336 0.0000 Mg
2.4230 2.4261 0.0000 Mg
0.2851 2.2717 1.7733 Au
2.8604 -0.3004 1.7699 Te
```

Results
Energy relative to the elements, uncorrected ... -35 kJ per mole of atoms
Space-group type ... Immm


No. 7
YTeSeN2 | PBE | relaxed

Structure (POSCAR):
```
YTeSeN2
1.0
4.2345 0.0000 0.0000
0.0000 4.2345 0.0000
0.0000 0.0000 7.0233
N Se Y Te
2 1 1 1
Cartesian
2.1172 0.0000 0.0000 N
0.0000 2.1172 0.0000 N
2.1172 2.1172 3.5117 Se
0.0000 0.0000 0.0000 Y
0.0000 0.0000 3.5117 Te
```

Results
Energy relative to the elements, uncorrected ... 87 kJ per mole of atoms
Space-group type ... P4/mmm


No. 8
Cr3ReP | PBE | relaxed

Structure (POSCAR):
```
Cr3ReP
1.0
-3.4027 2.0999 -2.4079
0.7051 -2.9375 -3.5581
-3.1162 -2.9576 1.8242
Re Cr P
1 3 1
Cartesian
0.0000 0.0000 0.0000 Re
0.3525 -1.4688 -1.7791 Cr
-1.5581 -1.4788 0.9121 Cr
-1.7013 1.0500 -1.2040 Cr
-2.9069 -1.8976 -2.0709 P
```

Results
Energy of formation ... 1.49 eV per atom
Space-group type ... Pm-3m


Number 1: size of the total moment 0.00 μB per formula unit, calculated total energy -4.25 eV/atom. Number 2: size of the total moment 4.03 μB per formula unit, calculated total energy -4.33 eV/atom. Number 3: size of the total moment 1.69 μB per formula unit, calculated total energy -4.20 eV/atom. Number 4: size of the total moment 0.39 μB per formula unit, calculated total energy -8.33 eV/atom. Number 5: size of the total moment 0.00 μB per formula unit, calculated total energy -5.08 eV/atom. Number 6: size of the total moment 0.00 μB per formula unit, calculated total energy -2.76 eV/atom. Number 7: size of the total moment 0.06 μB per formula unit, calculated total energy -5.05 eV/atom. Number 8: size of the total moment 9.00 μB per formula unit, calculated total energy -7.85 eV/atom.